No. 1
Entry from the Alexandria database: TcHgCl2 after structural relaxation (GGA-PBE).

The structure in CIF format:
```
data_TcHgCl2
_chemical_formula_sum 'Tc1 Hg1 Cl2'
_cell_length_a 4.8656
_cell_length_b 3.1082
_cell_length_c 7.2940
_cell_angle_alpha 90.00
_cell_angle_beta 109.22
_cell_angle_gamma 90.00
_space_group_name_H-M_alt 'P 1 m 1'
_space_group_IT_number 6
_space_group_name_Hall 'P -2y'
loop_
_atom_site_label
_atom_site_type_symbol
_atom_site_fract_x
_atom_site_fract_y
_atom_site_fract_z
Tc1 Tc 0.0000 0.0000 0.0000
Hg1 Hg 0.5231 0.5000 0.0468
Cl1 Cl 0.1633 0.0000 0.3318
Cl2 Cl 0.8696 0.5000 0.7354
```

## Properties
- Excess energy over the best structure of this formula in the dataset: 11 meV per atom
- Energy relative to the elements, uncorrected: -0.539 eV/f.u.

No. 2
Entry from the Alexandria database: LaBeAs2 after structural relaxation (GGA-PBE).

The structure in CIF format:
```
data_LaBeAs2
_chemical_formula_sum 'La2 Be2 As4'
_cell_length_a 4.2930
_cell_length_b 4.2930
_cell_length_c 9.0683
_cell_angle_alpha 90.00
_cell_angle_beta 90.00
_cell_angle_gamma 90.00
_space_group_name_H-M_alt 'I 4/m m m'
_space_group_IT_number 139
_space_group_name_Hall '-I 4 2'
loop_
_atom_site_label
_atom_site_type_symbol
_atom_site_fract_x
_atom_site_fract_y
_atom_site_fract_z
La1 La 0.0000 0.0000 0.0000
Be1 Be 0.0000 0.0000 0.5000
As1 As 0.0000 0.5000 0.2500
```

## Properties
- Energy of formation from the pure elements: -0.82 eV/f.u.